1.
## CaLa2SbN (PBE)

Data for CaLa2SbN after structural relaxation.

Summary:
Magnetization = 0.000 μB/atom
Electronic total energy = -5.9093 eV per atom
Energy above the lowest structure with this stoichiometry = 0 meV/atom

Cell: 5.0732 5.0732 4.9224 Å, 90.00 90.00 90.00°
Last column: nearest neighbours and their distance in Å.
Space group P4/mmm (No. 123)
Asymmetric unit:
Ca1 0.0000 0.0000 0.0000  2 N 2.46
La1 0.0000 0.5000 0.5000  2 N 2.54
Sb1 0.5000 0.5000 0.0000  8 La 3.53, 4 Ca 3.59
N1 0.0000 0.0000 0.5000  2 Ca 2.46, 4 La 2.54

2.
## CaLaSe2N (PBE)

Data for CaLaSe2N after structural relaxation.

Summary:
Magnetization = 0.231 μB/atom
Electronic total energy = -5.0862 eV per atom
Energy above the lowest structure with this stoichiometry = 0 meV/atom

Cell: 5.7921 5.7921 4.3203 Å, 90.00 90.00 90.00°
Last column: nearest neighbours and their distance in Å.
Space group P4/mmm (No. 123)
Asymmetric unit:
Ca1 0.0000 0.0000 0.0000  8 Se 3.61
La1 0.5000 0.5000 0.5000  2 N 2.16
Se1 0.0000 0.5000 0.5000  2 La 2.90
N1 0.5000 0.5000 0.0000  2 La 2.16

3.
## CaLaSe2N (PBE)

Data for CaLaSe2N after structural relaxation.

Summary:
Magnetization = 0.400 μB/atom
Electronic total energy = -5.0002 eV per atom
Energy above the lowest structure with this stoichiometry = 86 meV/atom

Cell: 5.4144 5.4144 4.3854 Å, 90.00 90.00 90.00°
Last column: nearest neighbours and their distance in Å.
Space group P4/mmm (No. 123)
Asymmetric unit:
Ca1 0.0000 0.0000 0.0000  2 N 2.19
La1 0.5000 0.5000 0.5000  8 Se 3.48, 4 N 3.83
Se1 0.0000 0.5000 0.0000  2 Ca 2.71
N1 0.0000 0.0000 0.5000  2 Ca 2.19

4.
## CaLa2SnN4 (PBE)

Data for CaLa2SnN4 after structural relaxation.

Summary:
Magnetization = 0.000 μB/atom
Electronic total energy = -6.8729 eV per atom

Cell: 3.6026 12.4479 12.7396 Å, 90.00 90.00 90.00°
Last column: nearest neighbours and their distance in Å.
Space group Cmcm (No. 63)
Asymmetric unit:
Ca1 0.0000 0.1195 0.2500  6 N 2.78-2.84
La1 0.0000 0.3704 0.0298  5 N 2.42-2.70
Sn1 0.0000 0.1504 0.7500  4 N 2.08-2.19
N1 0.0000 0.0000 0.0000  4 La 2.45
N2 0.0000 0.2587 0.6255  1 Sn 2.08
N3 0.0000 0.4490 0.2500  2 Sn 2.19

5.
## CaLa2SnN (PBE)

Data for CaLa2SnN after structural relaxation.

Summary:
Magnetization = 0.000 μB/atom
Electronic total energy = -5.8361 eV per atom

Cell: 5.0955 5.0955 4.9666 Å, 90.00 90.00 90.00°
Last column: nearest neighbours and their distance in Å.
Space group P4/mmm (No. 123)
Asymmetric unit:
Ca1 0.0000 0.0000 0.0000  2 N 2.48
La1 0.0000 0.5000 0.5000  2 N 2.55
Sn1 0.5000 0.5000 0.0000  8 La 3.56, 4 Ca 3.60
N1 0.0000 0.0000 0.5000  2 Ca 2.48, 4 La 2.55

6.
## CaLa12Sn4N3 (PBE)

Data for CaLa12Sn4N3 after structural relaxation.

Summary:
Magnetization = 0.000 μB/atom
Electronic total energy = -5.7343 eV per atom

Cell: 10.3268 10.3268 10.3268 Å, 90.00 90.00 90.00°
Last column: nearest neighbours and their distance in Å.
Space group Im-3m (No. 229)
Asymmetric unit:
Ca1 0.0000 0.0000 0.0000  6 La 2.77
La1 0.0000 0.0000 0.2684  1 N 2.39
La2 0.0000 0.2500 0.5000  2 N 2.58
Sn1 0.2500 0.2500 0.2500  12 La 3.65-3.66
N1 0.0000 0.0000 0.5000  6 La 2.39-2.58

7.
## SrCaLa2N (PBE)

Data for SrCaLa2N after structural relaxation.

Summary:
Magnetization = 0.000 μB/atom
Electronic total energy = -4.7343 eV per atom
Energy above the lowest structure with this stoichiometry = 0 meV/atom

Cell: 5.1684 5.1684 5.9189 Å, 90.00 90.00 90.00°
Last column: nearest neighbours and their distance in Å.
Space group P4/mmm (No. 123)
Asymmetric unit:
Sr1 0.0000 0.0000 0.0000  2 N 2.96
Ca1 0.5000 0.5000 0.0000  4 Sr 3.65, 8 La 3.93
La1 0.0000 0.5000 0.5000  2 N 2.58
N1 0.0000 0.0000 0.5000  4 La 2.58

8.
## SrCaLa2N (PBE)

Data for SrCaLa2N after structural relaxation.

Summary:
Magnetization = 0.160 μB/atom
Electronic total energy = -4.6549 eV per atom
Energy above the lowest structure with this stoichiometry = 79 meV/atom

Cell: 5.2230 5.2230 5.7042 Å, 90.00 90.00 90.00°
Last column: nearest neighbours and their distance in Å.
Space group P4/mmm (No. 123)
Asymmetric unit:
Sr1 0.0000 0.0000 0.0000  4 Ca 3.69, 8 La 3.87
Ca1 0.5000 0.5000 0.0000  2 N 2.85
La1 0.0000 0.5000 0.5000  2 N 2.61
N1 0.5000 0.5000 0.5000  4 La 2.61, 2 Ca 2.85

no.,formation energy from raw total energies (eV/atom)
1,-1.048
2,-0.642
3,-0.556
4,-0.728
5,-0.999
6,-0.628
7,-0.362
8,-0.282